Entry 1:
# SrEr2

A relaxed structure of SrEr2 (PBE, Alexandria).

Properties
Crystal system: tetragonal
Energy above the most stable polymorph in this dataset: 0 meV per atom

Unit cell a=3.701 b=3.701 c=8.385 alpha=102.75 beta=102.75 gamma=90.00
Element x y z (fractional)
Sr: 0.000 0.000 0.000
Er: 0.319 0.319 0.638
Er: 0.681 0.681 0.362

***

Entry 2:
# AcZn4Pt3

A relaxed structure of AcZn4Pt3 (PBE, Alexandria).

Properties
Crystal system: tetragonal

Unit cell a=4.177 b=4.177 c=8.992 alpha=90.00 beta=90.00 gamma=90.00
Element x y z (fractional)
Pt: 0.500 0.500 0.346
Pt: 0.500 0.500 0.654
Zn: 0.000 0.500 0.832
Zn: 0.000 0.500 0.168
Pt: 0.000 0.000 0.000
Ac: 0.000 0.000 0.500
Zn: 0.500 0.000 0.832
Zn: 0.500 0.000 0.168

***

Entry 3:
# Pm2DyGa3Pd4

A relaxed structure of Pm2DyGa3Pd4 (PBE, Alexandria).

Properties
Crystal system: tetragonal

Unit cell a=4.281 b=4.281 c=11.311 alpha=90.00 beta=90.00 gamma=90.00
Element x y z (fractional)
Ga: 0.000 0.000 0.500
Pd: 0.000 0.000 0.000
Pd: 0.500 0.000 0.657
Pd: 0.500 0.500 0.000
Pd: 0.000 0.500 0.343
Dy: 0.500 0.500 0.500
Pm: 0.500 0.000 0.226
Ga: 0.000 0.500 0.121
Pm: 0.000 0.500 0.774
Ga: 0.500 0.000 0.879

***

Entry 4:
# Sm3YRh4

A relaxed structure of Sm3YRh4 (PBE, Alexandria).

Properties
Crystal system: orthorhombic

Unit cell a=3.421 b=4.971 c=9.950 alpha=90.00 beta=90.00 gamma=90.00
Element x y z (fractional)
Sm: 0.500 0.500 0.500
Rh: 0.000 0.500 0.753
Rh: 0.000 0.000 0.500
Sm: 0.500 0.000 0.248
Sm: 0.500 0.000 0.752
Rh: 0.000 0.000 0.000
Rh: 0.000 0.500 0.247
Y: 0.500 0.500 0.000

***

Entry 5:
# Hf2ZrBi2

A relaxed structure of Hf2ZrBi2 (PBE, Alexandria).

Properties
Crystal system: tetragonal
Energy above the most stable polymorph in this dataset: 0 meV per atom

Unit cell a=7.978 b=7.978 c=3.798 alpha=90.00 beta=90.00 gamma=90.00
Element x y z (fractional)
Hf: 0.647 0.853 0.500
Bi: 0.350 0.850 0.000
Hf: 0.853 0.353 0.500
Zr: 0.500 0.500 0.000
Bi: 0.850 0.650 0.000
Hf: 0.353 0.147 0.500
Hf: 0.147 0.647 0.500
Bi: 0.650 0.150 0.000
Zr: 0.000 0.000 0.000
Bi: 0.150 0.350 0.000

***

| no. | total moment (μB per formula unit) | volume (Å³ per atom) | energy relative to the elements (eV/atom) |
| --- | --- | --- | --- |
| 1 | 0.00 | 36.371 | 0.1526 |
| 2 | 0.00 | 19.615 | -0.6520 |
| 3 | 0.00 | 20.726 | -0.7924 |
| 4 | 0.00 | 21.148 | -0.7459 |
| 5 | 0.00 | 24.173 | -0.0897 |